GGA-PBE Dy2Ho3Ga3, relaxed; energy above the most stable polymorph in this dataset = 138 meV per atom; symmetry = No. 38
1.0
5.4557 0.0000 0.0000
0.0000 3.6391 5.1217
0.0000 -3.6391 5.1217
Ga Ho Dy
3 3 2
direct
0.5000 0.6061 0.2543
0.5000 0.2543 0.6061
0.0000 0.8338 0.8338
0.0000 0.8143 0.3123
0.5000 0.1287 0.1287
0.0000 0.3123 0.8143
0.5000 0.7307 0.7307
0.0000 0.3198 0.3198